# 1
Computed, not measured: Nd2Sn4Pt3Au after structural relaxation at the PBE level of DFT.

ΔE_f   -0.78 eV per atom
Calculated volume   230.7 Å³/f.u.
Density of states at the Fermi level   4.63 states/eV/f.u.
Size of the total moment   0.00 μB per formula unit
Theoretical density   11.12 Mg/m³

a b c (Å): 4.6251 4.6251 10.7863
angles (deg): 90.00 90.00 90.00
Last column: nearest neighbours and their distance in Å.
Space group P-4m2 (No. 115)
Symmetry-distinct sites (fractional):
Nd  0.0000  0.5000  0.2395 x2  8 Sn 3.46-3.64, 6 Pt 3.47-3.58, 2 Au 3.47
Sn  0.0000  0.0000  0.5000 x1  4 Pt 2.68
Sn  0.0000  0.5000  0.8659 x2  3 Pt 2.59-2.73, 2 Au 2.73
Sn  0.5000  0.5000  0.5000 x1  4 Pt 2.68
Pt  0.0000  0.0000  0.0000 x1  4 Sn 2.73
Pt  0.0000  0.5000  0.6256 x2  5 Sn 2.59-2.68
Au  0.5000  0.5000  0.0000 x1  4 Sn 2.73

# 2
Computed, not measured: TaAgAu4 after structural relaxation at the PBE level of DFT.

ΔE_f   -0.05 eV per atom
Calculated volume   107.5 Å³/f.u.
Density of states at the Fermi level   3.27 states/eV/f.u.
Offset from the most stable computed form   0.0 meV/atom
Size of the total moment   0.00 μB per formula unit
Theoretical density   16.63 Mg/m³

a b c (Å): 2.9427 2.9427 12.4163
angles (deg): 90.00 90.00 90.00
Last column: nearest neighbours and their distance in Å.
Space group P4/mmm (No. 123)
Symmetry-distinct sites (fractional):
Ta  0.0000  0.0000  0.0000 x1  8 Au 2.87, 4 Ta 2.94
Ag  0.5000  0.5000  0.5000 x1  8 Au 2.94, 4 Ag 2.94
Au  0.0000  0.0000  0.3329 x2  4 Ag 2.94, 8 Au 2.94-2.99
Au  0.5000  0.5000  0.1596 x2  4 Ta 2.87, 8 Au 2.94-2.99

# 3
Computed, not measured: ReOs4W after structural relaxation at the PBE level of DFT.

ΔE_f   0.16 eV per atom
Calculated volume   90.0 Å³/f.u.
Density of states at the Fermi level   4.00 states/eV/f.u.
Offset from the most stable computed form   0.0 meV/atom
Size of the total moment   0.00 μB per formula unit
Theoretical density   20.87 Mg/m³

a b c (Å): 5.4885 15.0893 4.3467
angles (deg): 90.00 90.00 90.00
Last column: nearest neighbours and their distance in Å.
Space group Cmcm (No. 63)
Symmetry-distinct sites (fractional):
Re  0.0000  0.1288  0.2500 x4  2 W 2.75, 12 Os 2.81-2.91
Os  0.2473  0.0419  0.7500 x8  5 Os 2.51-2.77
Os  0.2490  0.2916  0.2500 x8  5 Os 2.51-2.76
W  0.0000  0.3788  0.7500 x4  2 Re 2.75, 12 Os 2.83-2.92

# 4
Computed, not measured: SiGe2W after structural relaxation at the PBE level of DFT.

Calculated volume   92.7 Å³/f.u.
Density of states at the Fermi level   4.07 states/eV/f.u.
ΔE_f (raw)   88 kJ per mole of atoms
Size of the total moment   0.82 μB per formula unit
Theoretical density   6.40 Mg/m³

a b c (Å): 5.8014 5.8014 11.0152
angles (deg): 90.00 90.00 90.00
Last column: nearest neighbours and their distance in Å.
Space group I-42d (No. 122)
Symmetry-distinct sites (fractional):
Si  0.0000  0.0000  0.0000 x4  4 Ge 2.45
Ge  0.2434  0.2500  0.1250 x8  2 Si 2.45, 2 W 2.49
W  0.0000  0.0000  0.5000 x4  4 Ge 2.49

# 5
Computed, not measured: Ho4BiTe2As after structural relaxation at the PBE level of DFT.

Calculated volume   227.7 Å³/f.u.
Density of states at the Fermi level   3.66 states/eV/f.u.
ΔE_f (raw)   -120 kJ per mole of atoms
Size of the total moment   0.00 μB per formula unit
Theoretical density   8.74 Mg/m³

a b c (Å): 7.4806 4.2900 7.5141
angles (deg): 90.00 109.23 90.00
Last column: nearest neighbours and their distance in Å.
Space group P2/m (No. 10)
Symmetry-distinct sites (fractional):
Ho  0.2246  0.0000  0.2249 x2  2 As 2.90, 1 Bi 3.06, 3 Te 3.06-3.21
Ho  0.2353  0.5000  0.7644 x2  1 As 2.88, 2 Bi 3.06, 2 Te 3.06
Bi  0.0000  0.0000  0.5000 x1  6 Ho 3.06
Te  0.5000  0.0000  0.0000 x1  6 Ho 3.06
Te  0.5000  0.5000  0.5000 x1  6 Ho 3.21-3.23
As  0.0000  0.5000  0.0000 x1  6 Ho 2.88-2.90

# 6
Computed, not measured: ZrSc2Ga6 after structural relaxation at the PBE level of DFT.

ΔE_f   -0.52 eV per atom
Calculated volume   159.9 Å³/f.u.
Density of states at the Fermi level   3.12 states/eV/f.u.
Size of the total moment   0.00 μB per formula unit
Theoretical density   6.23 Mg/m³

a b c (Å): 7.5480 7.5480 3.2399
angles (deg): 90.00 90.00 120.00
Last column: nearest neighbours and their distance in Å.
Space group P6/mmm (No. 191)
Symmetry-distinct sites (fractional):
Zr  0.0000  0.0000  0.0000 x1  12 Ga 3.00, 2 Zr 3.24
Sc  0.3333  0.6667  0.0000 x2  12 Ga 2.99, 2 Sc 3.24
Ga  0.0000  0.3345  0.5000 x6  3 Ga 2.50-2.52

# 7
Computed, not measured: Ho4AgPd12 after structural relaxation at the PBE level of DFT.

ΔE_f   -0.74 eV per atom
Calculated volume   309.5 Å³/f.u.
Density of states at the Fermi level   2.21 states/eV/f.u.
Size of the total moment   0.00 μB per formula unit
Theoretical density   10.97 Mg/m³

a b c (Å): 8.5226 8.5226 8.5226
angles (deg): 90.00 90.00 90.00
Last column: nearest neighbours and their distance in Å.
Space group Im-3m (No. 229)
Symmetry-distinct sites (fractional):
Ho  0.2500  0.2500  0.2500 x8  12 Pd 3.01-3.05
Ag  0.0000  0.0000  0.0000 x2  6 Pd 2.57
Pd  0.0000  0.0000  0.3016 x12  1 Ag 2.57, 4 Pd 2.72
Pd  0.0000  0.2500  0.5000 x12  8 Pd 2.72-3.01, 4 Ho 3.01

# 8
Computed, not measured: ThGeAu4 after structural relaxation at the PBE level of DFT.

ΔE_f   -0.29 eV per atom
Calculated volume   126.7 Å³/f.u.
Density of states at the Fermi level   2.75 states/eV/f.u.
Size of the total moment   0.00 μB per formula unit
Theoretical density   14.32 Mg/m³

a b c (Å): 7.9735 7.9735 7.9735
angles (deg): 90.00 90.00 90.00
Last column: nearest neighbours and their distance in Å.
Space group F-43m (No. 216)
Symmetry-distinct sites (fractional):
Th  0.0000  0.0000  0.0000 x4  12 Au 3.31, 4 Ge 3.45
Ge  0.2500  0.2500  0.7500 x4  12 Au 3.31, 4 Th 3.45
Au  0.1248  0.1248  0.3752 x16  6 Au 2.82

# 9
Computed, not measured: BaAlMo2 after structural relaxation at the PBE level of DFT.

ΔE_f   1.08 eV per atom
Calculated volume   81.0 Å³/f.u.
Density of states at the Fermi level   4.70 states/eV/f.u.
Size of the total moment   0.00 μB per formula unit
Theoretical density   7.31 Mg/m³

a b c (Å): 6.1499 9.7836 2.8812
angles (deg): 90.00 110.93 90.00
Last column: nearest neighbours and their distance in Å.
Space group C2/m (No. 12)
Symmetry-distinct sites (fractional):
Ba  0.0000  0.0000  0.0000 x2  2 Ba 2.88, 4 Mo 2.97, 2 Al 3.07
Al  0.0000  0.5000  0.0000 x2  2 Al 2.88, 4 Mo 2.97, 2 Ba 3.07
Mo  0.2500  0.2500  0.5000 x4  4 Mo 2.88-3.07, 2 Ba 2.97, 2 Al 2.97

# 10
Computed, not measured: K3Ir after structural relaxation at the PBE level of DFT.

ΔE_f   0.67 eV per atom
Calculated volume   142.9 Å³/f.u.
Density of states at the Fermi level   6.73 states/eV/f.u.
Offset from the most stable computed form   0.0 meV/atom
Size of the total moment   0.18 μB per formula unit
Theoretical density   3.60 Mg/m³

a b c (Å): 9.3731 10.0053 6.0945
angles (deg): 90.00 90.00 90.00
Last column: nearest neighbours and their distance in Å.
Space group Pnma (No. 62)
Symmetry-distinct sites (fractional):
K  0.0195  0.2500  0.0640 x4  3 Ir 3.30-3.44
K  0.1660  0.0701  0.5840 x8  3 Ir 3.32-3.39, 5 K 3.56-3.71
Ir  0.1373  0.7500  0.4462 x4  9 K 3.30-3.44

# 11
Computed, not measured: Sr2ZrMnIn after structural relaxation at the PBE level of DFT.

ΔE_f   0.46 eV per atom
Calculated volume   168.1 Å³/f.u.
Density of states at the Fermi level   6.13 states/eV/f.u.
Size of the total moment   1.89 μB per formula unit
Theoretical density   4.31 Mg/m³

a b c (Å): 5.9555 5.9555 4.7409
angles (deg): 90.00 90.00 90.00
Last column: nearest neighbours and their distance in Å.
Space group P4/mmm (No. 123)
Symmetry-distinct sites (fractional):
Sr  0.0000  0.5000  0.0000 x2  2 Mn 2.98
Zr  0.0000  0.0000  0.5000 x1  2 Mn 2.37
Mn  0.0000  0.0000  0.0000 x1  2 Zr 2.37
In  0.5000  0.5000  0.5000 x1  8 Sr 3.81, 4 Zr 4.21

# 12
Computed, not measured: TlTe2W after structural relaxation at the PBE level of DFT.

Calculated volume   101.4 Å³/f.u.
Density of states at the Fermi level   2.18 states/eV/f.u.
Offset from the most stable computed form   917.4 meV/atom
ΔE_f (raw)   99 kJ per mole of atoms
Size of the total moment   2.83 μB per formula unit
Theoretical density   10.54 Mg/m³

a b c (Å): 4.5271 4.5271 9.8915
angles (deg): 90.00 90.00 90.00
Last column: nearest neighbours and their distance in Å.
Space group I-4m2 (No. 119)
Symmetry-distinct sites (fractional):
Tl  0.0000  0.0000  0.0000 x2  8 Te 3.20-3.35, 4 W 3.35
Te  0.0000  0.0000  0.5000 x2  4 Tl 3.20, 4 W 3.35, 4 Te 3.35
Te  0.0000  0.5000  0.2500 x2  4 W 3.20, 4 Tl 3.35, 4 Te 3.35
W  0.0000  0.5000  0.7500 x2  8 Te 3.20-3.35, 4 Tl 3.35